# BeNiW | Alexandria | PBE-GGA | relaxed
# * total magnetic moment: 0.00 μB per atom
# * crystal system: triclinic
# * energy of formation from the pure elements: -0.07 eV/atom
data_BeNiW
_chemical_formula_sum 'Be2 Ni2 W2'
_cell_length_a 2.727
_cell_length_b 4.834
_cell_length_c 5.801
_cell_angle_alpha 107.45
_cell_angle_beta 90.04
_cell_angle_gamma 106.26
_space_group_name_H-M_alt 'P -1'
_space_group_IT_number 2
_space_group_name_Hall '-P 1'
loop_
_atom_site_label
_atom_site_type_symbol
_atom_site_fract_x
_atom_site_fract_y
_atom_site_fract_z
Be1 Be 0.025 0.049 0.220
Ni1 Ni 0.350 0.699 0.946
W1 W 0.345 0.692 0.394